First-principles (GGA-PBE) data for a relaxed structure of Sr2Li15Ag2, as listed in Alexandria.

DFT total energy = -2.021 eV/atom
Symmetry = No. 166
Energy relative to the elements = -0.62 eV/f.u.

```
Sr2Li15Ag2
1.0
7.5647 -0.0861 -0.0767
0.8961 7.5119 -0.0767
0.8961 0.7864 7.4710
Sr Li Ag
2 15 2
Direct
0.3405 0.3405 0.3405
0.6595 0.6595 0.6595
0.5000 0.0000 0.0000
0.0000 0.0000 0.5000
0.0000 0.5000 0.0000
0.0000 0.7336 0.2664
0.7336 0.2664 0.0000
0.2664 0.0000 0.7336
0.2664 0.7336 0.0000
0.7336 0.0000 0.2664
0.0000 0.2664 0.7336
0.1299 0.6562 0.6562
0.6562 0.6562 0.1299
0.6562 0.1299 0.6562
0.8701 0.3438 0.3438
0.3438 0.3438 0.8701
0.3438 0.8701 0.3438
0.1014 0.1014 0.1014
0.8986 0.8986 0.8986
```

=====

First-principles (GGA-PBE) data for a relaxed structure of Sr4Li2Ag5, as listed in Alexandria.

DFT total energy = -2.445 eV/atom
Symmetry = No. 72
Energy relative to the elements = -2.08 eV/f.u.

```
Sr4Li2Ag5
1.0
5.9158 0.0000 -1.6203
-1.1579 9.0490 -4.2276
-0.0168 -0.1928 11.5487
Sr Li Ag
8 4 10
Direct
0.9386 0.2159 0.8772
0.0614 0.7841 0.1228
0.5614 0.3388 0.1228
0.4386 0.6612 0.8772
0.6504 0.0302 0.3007
0.3496 0.9698 0.6993
0.8496 0.7295 0.6993
0.1504 0.2705 0.3007
0.9474 0.6974 0.3949
0.5526 0.3026 0.6051
0.0526 0.3026 0.6051
0.4474 0.6974 0.3949
0.2500 0.0000 0.0000
0.7500 0.0000 0.0000
0.5886 0.6741 0.1771
0.4114 0.3259 0.8229
0.9114 0.4970 0.8229
0.0886 0.5030 0.1771
0.7785 0.9628 0.5569
0.2215 0.0372 0.4431
0.2785 0.5942 0.5569
0.7215 0.4058 0.4431
```

=====

First-principles (GGA-PBE) data for a relaxed structure of Sr3Li3Ag2, as listed in Alexandria.

DFT total energy = -2.225 eV/atom
Symmetry = No. 62
Energy relative to the elements = -1.31 eV/f.u.

```
Sr3Li3Ag2
1.0
-4.7192 -4.2902 -0.4483
1.1490 -0.3653 -8.5984
11.3071 -12.6518 2.0485
Sr Li Ag
12 12 8
Direct
0.1181 0.4630 0.3920
0.6181 0.0370 0.6080
0.8819 0.5370 0.8920
0.3819 0.9630 0.1080
0.8819 0.5370 0.6080
0.3819 0.9630 0.3920
0.1181 0.4630 0.1080
0.6181 0.0370 0.8920
0.6325 0.3236 0.2500
0.1325 0.1764 0.7500
0.3675 0.6764 0.7500
0.8675 0.8236 0.2500
0.1043 0.1654 0.2500
0.6043 0.3346 0.7500
0.8957 0.8346 0.7500
0.3957 0.6654 0.2500
0.6008 0.3293 0.4667
0.1008 0.1706 0.5333
0.3992 0.6706 0.9667
0.8992 0.8294 0.0333
0.3992 0.6706 0.5333
0.8992 0.8294 0.4667
0.6008 0.3293 0.0333
0.1008 0.1706 0.9667
0.8768 0.1160 0.3933
0.3768 0.3840 0.6067
0.1232 0.8840 0.8933
0.6232 0.6160 0.1067
0.1232 0.8840 0.6067
0.6232 0.6160 0.3933
0.8768 0.1160 0.1067
0.3768 0.3840 0.8933
```

=====

First-principles (GGA-PBE) data for a relaxed structure of Sr5Li5Ag2, as listed in Alexandria.

DFT total energy = -2.054 eV/atom
Symmetry = No. 12
Energy relative to the elements = -0.97 eV/f.u.

```
Sr5Li5Ag2
1.0
-1.7193 3.8846 -1.9598
-8.8478 -1.6740 -1.1398
-2.7812 5.5854 7.9270
Sr Li Ag
5 5 2
Direct
0.5000 0.5000 0.5000
0.3797 0.3184 0.9222
0.2953 0.0805 0.3288
0.7047 0.9195 0.6712
0.6203 0.6816 0.0778
0.9528 0.7633 0.3310
0.2457 0.6922 0.8163
0.7543 0.3078 0.1837
0.0472 0.2367 0.6690
0.0000 0.0000 0.0000
0.8510 0.5403 0.7577
0.1490 0.4597 0.2423
```

=====

Please write out number 1 again, unchanged.
First-principles (GGA-PBE) data for a relaxed structure of Sr2Li15Ag2, as listed in Alexandria.

DFT total energy = -2.021 eV/atom
Symmetry = No. 166
Energy relative to the elements = -0.62 eV/f.u.

```
Sr2Li15Ag2
1.0
7.5647 -0.0861 -0.0767
0.8961 7.5119 -0.0767
0.8961 0.7864 7.4710
Sr Li Ag
2 15 2
Direct
0.3405 0.3405 0.3405
0.6595 0.6595 0.6595
0.5000 0.0000 0.0000
0.0000 0.0000 0.5000
0.0000 0.5000 0.0000
0.0000 0.7336 0.2664
0.7336 0.2664 0.0000
0.2664 0.0000 0.7336
0.2664 0.7336 0.0000
0.7336 0.0000 0.2664
0.0000 0.2664 0.7336
0.1299 0.6562 0.6562
0.6562 0.6562 0.1299
0.6562 0.1299 0.6562
0.8701 0.3438 0.3438
0.3438 0.3438 0.8701
0.3438 0.8701 0.3438
0.1014 0.1014 0.1014
0.8986 0.8986 0.8986
```